Tl2HgSbRh | PBE-GGA | optimized geometry

**Electronic total energy**: -3.2677 eV/atom
**N(E_F)**: 4.33 states/eV/cell
**E_form (uncorrected)**: 0.0340 eV per atom

Cell and atoms, written as POSCAR:
```
Tl2HgSbRh
1.0
5.334 0.000 0.000
0.000 5.153 0.000
0.000 0.000 5.334
Sb Tl Rh Hg
1 2 1 1
direct
0.000 0.500 0.000
0.000 0.000 0.500
0.500 0.000 0.000
0.000 0.000 0.000
0.500 0.500 0.500
```

***

Sc4HgRh | PBE-GGA | optimized geometry

**Electronic total energy**: -5.2978 eV/atom
**Formation energy from the elements**: 0.20 eV/atom
**N(E_F)**: 7.89 states/eV/cell

Cell and atoms, written as POSCAR:
```
Sc4HgRh
1.0
0.000 3.948 3.948
3.948 0.000 3.948
3.948 3.948 0.000
Sc Hg Rh
4 1 1
direct
0.879 0.374 0.374
0.374 0.374 0.879
0.374 0.879 0.374
0.374 0.374 0.374
0.750 0.750 0.750
0.000 0.000 0.000
```

***

Sc2HgRh | PBE-GGA | optimized geometry

**Electronic total energy**: -5.1323 eV/atom
**Formation energy from the elements**: -0.05 eV/atom
**N(E_F)**: 3.53 states/eV/cell

Cell and atoms, written as POSCAR:
```
Sc2HgRh
1.0
1.836 0.000 9.615
-0.918 1.590 9.615
-0.918 -1.590 9.615
Sc Rh Hg
2 1 1
direct
0.918 0.918 0.918
0.082 0.082 0.082
0.000 0.000 0.000
0.500 0.500 0.500
```

***

Sc3HgRh4 | PBE-GGA | optimized geometry

**Electronic total energy**: -6.8988 eV/atom
**Formation energy from the elements**: -0.81 eV/atom
**N(E_F)**: 4.53 states/eV/cell

Cell and atoms, written as POSCAR:
```
Sc3HgRh4
1.0
-0.758 0.134 -4.504
-4.224 -0.626 -1.625
-2.911 7.159 -1.614
Sc Rh Hg
3 4 1
direct
0.255 0.255 0.236
0.745 0.745 0.764
0.500 0.500 0.500
0.872 0.872 0.383
0.381 0.381 0.857
0.128 0.128 0.617
0.619 0.619 0.143
0.000 0.000 0.000
```

***

- Look up the electronic total energy of the second one.
  -5.2978 eV/atom